# TbSm3Y3S8, relaxed, DFT GGA-PBE
# Formation energy without anion corrections in meV/atom: -2056.9
# DFT total energy in eV per atom: -6.804
# Density of states at the Fermi level in states/eV per atom: 0.443
data_TbSm3Y3S8
_chemical_formula_sum 'Tb3 Sm9 Y9 S24'
_cell_length_a 7.8916
_cell_length_b 7.8916
_cell_length_c 19.4531
_cell_angle_alpha 90.00
_cell_angle_beta 90.00
_cell_angle_gamma 120.00
_space_group_name_H-M_alt 'R -3 m'
_space_group_IT_number 166
_space_group_name_Hall '-R 3 2"'
loop_
_atom_site_label
_atom_site_type_symbol
_atom_site_fract_x
_atom_site_fract_y
_atom_site_fract_z
Tb1 Tb 0.0000 0.0000 0.0000
Sm1 Sm 0.0000 0.5000 0.5000
Y1 Y 0.0000 0.5000 0.0000
S1 S 0.0000 0.0000 0.2527
S2 S 0.0022 0.5011 0.2522